Entry from Alexandria: a geometry-optimized Rb2SnSe2 structure (PBE).

Cell: 10.8772 8.9179 8.6771 Å, 90.00 106.08 90.00°
Space group P2_1/c (No. 14)
One atom of each set of equivalent atoms:
Rb: 0.0469 0.2351 0.0231 [4 per cell]
Rb: 0.3239 0.6498 0.9985 [4 per cell]
Sn: 0.3521 0.1281 0.9229 [4 per cell]
Se: 0.1464 0.5431 0.2780 [4 per cell]
Se: 0.4564 0.5299 0.6974 [4 per cell]

The value obtained for the energy above the most stable polymorph in this dataset is 0 meV/atom. The calculation puts the energy relative to the elements, uncorrected at -20.62 kcal/mol of atoms.


Entry from Alexandria: a geometry-optimized NdDy6Y3Tm2 structure (PBE).

Cell: 6.1514 10.6446 11.7799 Å, 90.00 99.96 90.00°
Space group C2/m (No. 12)
One atom of each set of equivalent atoms:
Nd: 0.0000 0.0000 0.0000 [2 per cell]
Dy: 0.2491 0.3330 0.7505 [8 per cell]
Dy: 0.2504 0.0000 0.7506 [4 per cell]
Y: 0.0000 0.1671 0.5000 [4 per cell]
Y: 0.0000 0.5000 0.5000 [2 per cell]
Tm: 0.0000 0.3333 0.0000 [4 per cell]

The formation energy comes out at 20 meV per atom.


Entry from Alexandria: a geometry-optimized LaIn2As structure (PBE).

Cell: 7.4950 7.4950 7.4950 Å, 90.00 90.00 90.00°
Space group F-43m (No. 216)
One atom of each set of equivalent atoms:
La: 0.0000 0.0000 0.0000 [4 per cell]
In: 0.0000 0.0000 0.5000 [4 per cell]
In: 0.2500 0.2500 0.2500 [4 per cell]
As: 0.2500 0.2500 0.7500 [4 per cell]

The formation energy comes out at -389 meV per atom.


Entry from Alexandria: a geometry-optimized Ba2LaNd3O8 structure (PBE).

Cell: 7.2955 7.2955 18.4193 Å, 90.00 90.00 120.00°
Space group R3m (No. 160, hexagonal axes)
One atom of each set of equivalent atoms:
Ba: 0.0000 0.0000 0.0000 [3 per cell]
Ba: 0.0000 0.0000 0.3786 [3 per cell]
La: 0.0000 0.0000 0.7585 [3 per cell]
Nd: 0.0053 0.5026 0.8788 [9 per cell]
O: 0.0000 0.0000 0.1461 [3 per cell]
O: 0.0000 0.0000 0.6184 [3 per cell]
O: 0.0043 0.5022 0.1385 [9 per cell]
O: 0.1856 0.3711 0.9456 [9 per cell]

The calculation puts the energy relative to the elements, uncorrected at -70.66 kcal/mol of atoms.


Entry from Alexandria: a geometry-optimized Tc2MoPb structure (PBE).

Cell: 9.5467 3.0904 4.8159 Å, 90.00 103.37 90.00°
Space group Cm (No. 8)
One atom of each set of equivalent atoms:
Tc: 0.0000 0.0000 0.0000 [2 per cell]
Tc: 0.2364 0.5000 0.2032 [2 per cell]
Mo: 0.4740 0.0000 0.4096 [2 per cell]
Pb: 0.2386 0.0000 0.7070 [2 per cell]

The formation energy comes out at 505 meV per atom.


Entry from Alexandria: a geometry-optimized Dy2ThSc3 structure (PBE).

Cell: 10.7239 10.9596 6.6856 Å, 90.00 90.00 90.00°
Space group Ibam (No. 72)
One atom of each set of equivalent atoms:
Dy: 0.2503 0.2485 0.0000 [8 per cell]
Th: 0.0000 0.0000 0.0000 [4 per cell]
Sc: 0.0000 0.2392 0.2500 [8 per cell]
Sc: 0.0000 0.5000 0.2500 [4 per cell]

The formation energy comes out at 568 meV per atom. The value obtained for the energy above the most stable polymorph in this dataset is 501 meV/atom.


Entry from Alexandria: a geometry-optimized Pm12TlIn3 structure (PBE).

Cell: 4.9533 4.9533 19.8657 Å, 90.00 90.00 90.00°
Space group P4/mmm (No. 123)
One atom of each set of equivalent atoms:
Pm: 0.0000 0.0000 0.0000 [1 per cell]
Pm: 0.0000 0.0000 0.2497 [2 per cell]
Pm: 0.0000 0.0000 0.5000 [1 per cell]
Pm: 0.0000 0.5000 0.1250 [4 per cell]
Pm: 0.0000 0.5000 0.3743 [4 per cell]
Tl: 0.5000 0.5000 0.5000 [1 per cell]
In: 0.5000 0.5000 0.0000 [1 per cell]
In: 0.5000 0.5000 0.2500 [2 per cell]

The formation energy comes out at -258 meV per atom.


Entry from Alexandria: a geometry-optimized MgZn5Ni2 structure (PBE).

Cell: 3.6017 7.6132 8.9392 Å, 90.00 90.00 90.00°
Space group Immm (No. 71)
One atom of each set of equivalent atoms:
Mg: 0.0000 0.0000 0.0000 [2 per cell]
Zn: 0.0000 0.1864 0.3436 [8 per cell]
Zn: 0.0000 0.5000 0.0000 [2 per cell]
Ni: 0.0000 0.5000 0.2737 [4 per cell]

The formation energy comes out at -83 meV per atom.


Entry from Alexandria: a geometry-optimized YTeMoI2 structure (PBE).

Cell: 5.9181 5.9181 5.9901 Å, 90.00 90.00 90.00°
Space group P4/mmm (No. 123)
One atom of each set of equivalent atoms:
Y: 0.0000 0.0000 0.0000 [1 per cell]
Te: 0.0000 0.0000 0.5000 [1 per cell]
Mo: 0.5000 0.5000 0.5000 [1 per cell]
I: 0.0000 0.5000 0.0000 [2 per cell]

The value obtained for the energy above the most stable polymorph in this dataset is 0 meV/atom. The calculation puts the energy relative to the elements, uncorrected at 5.27 kcal/mol of atoms.


Entry from Alexandria: a geometry-optimized Ce2CN3Cl structure (PBE).

Cell: 9.3614 13.3793 3.8803 Å, 90.00 90.00 90.00°
Space group Cmmm (No. 65)
One atom of each set of equivalent atoms:
Ce: 0.0000 0.1330 0.0000 [4 per cell]
Ce: 0.2088 0.5000 0.5000 [4 per cell]
C: 0.2500 0.2500 0.5000 [4 per cell]
N: 0.1570 0.0000 0.0000 [4 per cell]
N: 0.1732 0.1749 0.5000 [8 per cell]
Cl: 0.0000 0.3776 0.0000 [4 per cell]

The calculation puts the energy relative to the elements, uncorrected at -29.60 kcal/mol of atoms.


Entry from Alexandria: a geometry-optimized Ba2PIr structure (PBE).

Cell: 7.2033 8.6191 3.6270 Å, 90.00 90.00 90.00°
Space group Cmmm (No. 65)
One atom of each set of equivalent atoms:
Ba: 0.2500 0.2500 0.0000 [4 per cell]
P: 0.0000 0.0000 0.5000 [2 per cell]
Ir: 0.0000 0.5000 0.5000 [2 per cell]

The formation energy comes out at -87 meV per atom.


Entry from Alexandria: a geometry-optimized Rb2CdH6Pd structure (PBE).

Cell: 6.0719 6.0719 8.5268 Å, 90.00 90.00 90.00°
Space group I4/mmm (No. 139)
One atom of each set of equivalent atoms:
Rb: 0.0000 0.5000 0.2500 [4 per cell]
Cd: 0.0000 0.0000 0.0000 [2 per cell]
H: 0.0000 0.0000 0.3032 [4 per cell]
H: 0.1950 0.1950 0.5000 [8 per cell]
Pd: 0.0000 0.0000 0.5000 [2 per cell]

For the total energy, the calculation gives -59.3 eV for the cell shown.


Entry from Alexandria: a geometry-optimized Tm8Ga3AsSe4 structure (PBE).

Cell: 7.9920 7.9920 20.7035 Å, 90.00 90.00 120.00°
Space group R-3m (No. 166, hexagonal axes)
One atom of each set of equivalent atoms:
Tm: 0.0000 0.0000 0.2500 [6 per cell]
Tm: 0.0009 0.5004 0.2476 [18 per cell]
Ga: 0.0000 0.5000 0.5000 [9 per cell]
As: 0.0000 0.0000 0.5000 [3 per cell]
Se: 0.0000 0.0000 0.0000 [3 per cell]
Se: 0.0000 0.5000 0.0000 [9 per cell]

The calculation puts the energy relative to the elements, uncorrected at -28.53 kcal/mol of atoms.


Entry from Alexandria: a geometry-optimized Te2AsRu structure (PBE).

Cell: 5.5714 5.5714 5.7704 Å, 90.00 90.00 90.00°
Space group I4/mmm (No. 139)
One atom of each set of equivalent atoms:
Te: 0.0000 0.5000 0.0000 [4 per cell]
As: 0.0000 0.0000 0.0000 [2 per cell]
Ru: 0.0000 0.0000 0.5000 [2 per cell]

The calculation puts the energy relative to the elements, uncorrected at 7.88 kcal/mol of atoms.


Entry from Alexandria: a geometry-optimized Ce6As3P2I structure (PBE).

Cell: 18.3665 4.2175 8.4821 Å, 90.00 102.79 90.00°
Space group C2/m (No. 12)
One atom of each set of equivalent atoms:
Ce: 0.0053 0.0000 0.2726 [4 per cell]
Ce: 0.1690 0.5000 0.5787 [4 per cell]
Ce: 0.1754 0.5000 0.0966 [4 per cell]
As: 0.0000 0.5000 0.5000 [2 per cell]
As: 0.1618 0.0000 0.8332 [4 per cell]
P: 0.1681 0.0000 0.3345 [4 per cell]
I: 0.0000 0.5000 0.0000 [2 per cell]

The calculation puts the energy relative to the elements, uncorrected at -31.16 kcal/mol of atoms.


Entry from Alexandria: a geometry-optimized CaMg2Pb structure (PBE).

Cell: 4.6477 4.6477 4.8784 Å, 90.00 90.00 90.00°
Space group P4/mmm (No. 123)
One atom of each set of equivalent atoms:
Ca: 0.0000 0.0000 0.0000 [1 per cell]
Mg: 0.0000 0.5000 0.5000 [2 per cell]
Pb: 0.5000 0.5000 0.0000 [1 per cell]

The formation energy comes out at -241 meV per atom. The value obtained for the energy above the most stable polymorph in this dataset is 0 meV/atom.


Entry from Alexandria: a geometry-optimized KTa2Hg structure (PBE).

Cell: 4.0876 4.0876 22.8100 Å, 90.00 90.00 90.00°
Space group I-42d (No. 122)
One atom of each set of equivalent atoms:
K: 0.0000 0.0000 0.0000 [4 per cell]
Ta: 0.2219 0.2500 0.6250 [8 per cell]
Hg: 0.0000 0.0000 0.5000 [4 per cell]

The formation energy comes out at 1271 meV per atom.


Entry from Alexandria: a geometry-optimized RbCa3Co structure (PBE).

Cell: 5.7078 5.7078 5.7078 Å, 90.00 90.00 90.00°
Space group Pm-3m (No. 221)
One atom of each set of equivalent atoms:
Rb: 0.0000 0.0000 0.0000 [1 per cell]
Ca: 0.0000 0.5000 0.5000 [3 per cell]
Co: 0.5000 0.5000 0.5000 [1 per cell]

The formation energy comes out at 246 meV per atom. The value obtained for the energy above the most stable polymorph in this dataset is 0 meV/atom.


Entry from Alexandria: a geometry-optimized La3PrDy6Ho2 structure (PBE).

Cell: 6.2493 10.8273 11.9044 Å, 90.00 100.08 90.00°
Space group C2/m (No. 12)
One atom of each set of equivalent atoms:
La: 0.0000 0.0000 0.0000 [2 per cell]
La: 0.0000 0.3332 0.0000 [4 per cell]
Pr: 0.0000 0.5000 0.5000 [2 per cell]
Dy: 0.2476 0.0000 0.7458 [4 per cell]
Dy: 0.2491 0.3328 0.7458 [8 per cell]
Ho: 0.0000 0.1667 0.5000 [4 per cell]

The formation energy comes out at 20 meV per atom.


Entry from Alexandria: a geometry-optimized Ba2CdP structure (PBE).

Cell: 8.9421 8.9421 8.4379 Å, 90.00 90.00 90.00°
Space group I-42d (No. 122)
One atom of each set of equivalent atoms:
Ba: 0.1999 0.2500 0.1250 [8 per cell]
Cd: 0.0000 0.0000 0.5000 [4 per cell]
P: 0.0000 0.0000 0.0000 [4 per cell]

The formation energy comes out at -420 meV per atom. The value obtained for the energy above the most stable polymorph in this dataset is 222 meV/atom.


Entry from Alexandria: a geometry-optimized TcAg2P structure (PBE).

Cell: 3.0697 4.2178 4.8914 Å, 90.00 90.00 90.00°
Space group Pmmm (No. 47)
One atom of each set of equivalent atoms:
Tc: 0.0000 0.0000 0.0000 [1 per cell]
Ag: 0.0000 0.5000 0.5000 [1 per cell]
Ag: 0.5000 0.0000 0.5000 [1 per cell]
P: 0.5000 0.5000 0.0000 [1 per cell]

The formation energy comes out at 412 meV per atom.


Entry from Alexandria: a geometry-optimized Tb8PbSe6 structure (PBE).

Cell: 10.6286 10.6286 4.0799 Å, 90.00 90.00 120.00°
Space group P-3 (No. 147)
One atom of each set of equivalent atoms:
Tb: 0.0359 0.3273 0.2476 [6 per cell]
Tb: 0.3333 0.6667 0.7518 [2 per cell]
Pb: 0.0000 0.0000 0.0000 [1 per cell]
Se: 0.1327 0.6495 0.2499 [6 per cell]

The calculation puts the energy relative to the elements, uncorrected at -31.03 kcal/mol of atoms.


Entry from Alexandria: a geometry-optimized TaV2Mo2 structure (PBE).

Cell: 7.1613 7.1613 3.0759 Å, 90.00 90.00 90.00°
Space group P4/mbm (No. 127)
One atom of each set of equivalent atoms:
Ta: 0.0000 0.0000 0.0000 [2 per cell]
V: 0.1399 0.3601 0.0000 [4 per cell]
Mo: 0.1629 0.6629 0.5000 [4 per cell]

The formation energy comes out at 347 meV per atom. The value obtained for the energy above the most stable polymorph in this dataset is 465 meV/atom.


Number 1: ρ 3.68 g/cm3. Number 2: ρ 7.54 g/cm3. Number 3: ρ 7.00 g/cm3. Number 4: ρ 5.72 g/cm3. Number 5: ρ 11.99 g/cm3. Number 6: ρ 5.85 g/cm3. Number 7: ρ 7.80 g/cm3. Number 8: ρ 6.35 g/cm3. Number 9: ρ 4.48 g/cm3. Number 10: ρ 5.05 g/cm3. Number 11: ρ 7.34 g/cm3. Number 12: ρ 4.18 g/cm3. Number 13: ρ 8.49 g/cm3. Number 14: ρ 8.00 g/cm3. Number 15: ρ 6.50 g/cm3. Number 16: ρ 4.66 g/cm3. Number 17: ρ 10.48 g/cm3. Number 18: ρ 2.36 g/cm3. Number 19: ρ 7.80 g/cm3. Number 20: ρ 4.12 g/cm3. Number 21: ρ 9.04 g/cm3. Number 22: ρ 8.12 g/cm3. Number 23: ρ 9.99 g/cm3.